Record 1
DFT (GGA-PBE) results for an optimized crystal structure of BaNa6Sr5.

a b c (Å): 10.126 10.126 9.119
angles (deg): 90.11 90.11 143.20
Element x y z (fractional)
1 Ba 0.000 0.000 0.000
2 Na 0.168 0.831 0.746
3 Na 0.169 0.832 0.254
4 Na 0.499 0.499 0.747
5 Na 0.501 0.501 0.253
6 Na 0.831 0.168 0.746
7 Na 0.832 0.169 0.254
8 Sr 0.000 0.000 0.500
9 Sr 0.332 0.668 0.000
10 Sr 0.335 0.665 0.500
11 Sr 0.665 0.335 0.500
12 Sr 0.668 0.332 0.000

Properties
Its space group is C2/m (12). For the electronic total energy, the calculation gives -1.50 eV per atom. The formation energy comes out at 2 kJ/mol of atoms. As for the size of the total moment: 0.00 μB/f.u.

Record 2
DFT (GGA-PBE) results for an optimized crystal structure of RbZr2Sb2.

a b c (Å): 6.530 6.530 6.530
angles (deg): 129.55 129.55 74.13
Element x y z (fractional)
1 Rb 0.000 0.000 0.000
2 Zr 0.344 0.344 0.000
3 Zr 0.656 0.656 0.000
4 Sb 0.250 0.750 0.500
5 Sb 0.750 0.250 0.500

Properties
Its space group is I4/mmm (139). For the electronic total energy, the calculation gives -5.32 eV per atom. Its formation energy without anion corrections is -0.05 eV per atom. As for the size of the total moment: 0.93 μB/f.u. Its energy above the lowest structure with this stoichiometry is 374 meV per atom.

Record 3
DFT (GGA-PBE) results for an optimized crystal structure of Th3Be2Ge4.

a b c (Å): 5.909 5.909 8.290
angles (deg): 97.86 97.86 40.05
Element x y z (fractional)
1 Th 0.000 0.000 0.000
2 Th 0.337 0.337 0.336
3 Th 0.663 0.663 0.664
4 Be 0.392 0.392 0.719
5 Be 0.608 0.608 0.281
6 Ge 0.064 0.064 0.380
7 Ge 0.282 0.282 0.927
8 Ge 0.718 0.718 0.073
9 Ge 0.936 0.936 0.620

Properties
Its space group is C2/m (12). For the electronic total energy, the calculation gives -5.94 eV per atom. The formation energy comes out at -56 kJ/mol of atoms. As for the size of the total moment: 0.00 μB/f.u.

Record 4
DFT (GGA-PBE) results for an optimized crystal structure of Rb2Tb2SnS6.

a b c (Å): 6.864 6.864 8.258
angles (deg): 98.19 98.19 119.68
Element x y z (fractional)
1 Rb 0.170 0.830 0.000
2 Rb 0.830 0.170 0.000
3 Tb 0.333 0.667 0.500
4 Tb 0.667 0.333 0.500
5 Sn 0.000 0.000 0.500
6 S 0.064 0.382 0.687
7 S 0.250 0.250 0.316
8 S 0.382 0.064 0.687
9 S 0.618 0.936 0.313
10 S 0.750 0.750 0.684
11 S 0.936 0.618 0.313

Properties
Its space group is C2/m (12). For the electronic total energy, the calculation gives -5.07 eV per atom. Its formation energy without anion corrections is -1.44 eV per atom. As for the size of the total moment: 0.00 μB/f.u.

Record 5
DFT (GGA-PBE) results for an optimized crystal structure of YHoSc2P4.

a b c (Å): 6.709 3.885 6.726
angles (deg): 90.00 109.53 90.00
Element x y z (fractional)
1 Y 0.000 0.000 0.000
2 Ho 0.000 0.500 0.500
3 Sc 0.500 0.000 0.500
4 Sc 0.500 0.500 0.000
5 P 0.265 0.000 0.754
6 P 0.265 0.500 0.256
7 P 0.735 0.000 0.246
8 P 0.735 0.500 0.744

Properties
Its space group is P2/m (10). For the electronic total energy, the calculation gives -7.21 eV per atom. The formation energy comes out at -149 kJ/mol of atoms. As for the size of the total moment: 0.00 μB/f.u.

Record 6
DFT (GGA-PBE) results for an optimized crystal structure of ZrTaSn2B.

a b c (Å): 5.400 5.400 4.313
angles (deg): 90.00 90.00 90.00
Element x y z (fractional)
1 Zr 0.000 0.000 0.000
2 Ta 0.500 0.500 0.500
3 Sn 0.000 0.500 0.000
4 Sn 0.500 0.000 0.000
5 B 0.000 0.000 0.500

Properties
Its space group is P4/mmm (123). For the electronic total energy, the calculation gives -5.50 eV per atom. The formation energy comes out at 146 kJ/mol of atoms. As for the size of the total moment: 1.47 μB/f.u.

Record 7
DFT (GGA-PBE) results for an optimized crystal structure of AcDyReO6.

a b c (Å): 5.575 5.575 5.265
angles (deg): 90.00 90.00 120.00
Element x y z (fractional)
1 Ac 0.000 0.000 0.000
2 Dy 0.333 0.667 0.500
3 Re 0.667 0.333 0.500
4 O 0.384 0.041 0.710
5 O 0.384 0.342 0.290
6 O 0.658 0.041 0.290
7 O 0.658 0.616 0.710
8 O 0.959 0.342 0.710
9 O 0.959 0.616 0.290

Properties
Its space group is P312 (149). For the electronic total energy, the calculation gives -8.29 eV per atom. Its formation energy without anion corrections is -2.64 eV per atom. As for the size of the total moment: 1.01 μB/f.u.

Record 8
DFT (GGA-PBE) results for an optimized crystal structure of LiY2AlC.

a b c (Å): 4.901 4.901 4.245
angles (deg): 90.00 90.00 90.00
Element x y z (fractional)
1 Li 0.000 0.000 0.000
2 Y 0.000 0.500 0.500
3 Y 0.500 0.000 0.500
4 Al 0.500 0.500 0.000
5 C 0.000 0.000 0.500

Properties
Its space group is P4/mmm (123). For the electronic total energy, the calculation gives -5.69 eV per atom. The formation energy comes out at -12 kJ/mol of atoms. As for the size of the total moment: 0.00 μB/f.u. Its energy above the lowest structure with this stoichiometry is 16 meV per atom.

Record 9
DFT (GGA-PBE) results for an optimized crystal structure of NiPtC2.

a b c (Å): 3.787 3.787 3.787
angles (deg): 60.00 60.00 60.00
Element x y z (fractional)
1 Ni 0.000 0.000 0.000
2 Pt 0.500 0.500 0.500
3 C 0.250 0.250 0.250
4 C 0.750 0.750 0.750

Properties
Its space group is Fm-3m (225). For the electronic total energy, the calculation gives -5.87 eV per atom. The formation energy comes out at 163 kJ/mol of atoms. As for the size of the total moment: 0.00 μB/f.u. Its energy above the lowest structure with this stoichiometry is 785 meV per atom.

Record 10
DFT (GGA-PBE) results for an optimized crystal structure of CdTeAu.

a b c (Å): 4.269 6.248 6.256
angles (deg): 73.78 80.32 80.76
Element x y z (fractional)
1 Cd 0.002 0.205 0.298
2 Cd 0.998 0.795 0.702
3 Te 0.148 0.672 0.168
4 Te 0.852 0.328 0.832
5 Au 0.439 0.143 0.645
6 Au 0.561 0.857 0.355

Properties
Its space group is P-1 (2). For the electronic total energy, the calculation gives -2.57 eV per atom. Its formation energy without anion corrections is -0.13 eV per atom. As for the size of the total moment: 0.00 μB/f.u. Its energy above the lowest structure with this stoichiometry is 42 meV per atom.

Record 11
DFT (GGA-PBE) results for an optimized crystal structure of Nd8Mg3Os2.

a b c (Å): 10.071 10.071 4.966
angles (deg): 91.83 91.83 49.18
Element x y z (fractional)
1 Nd 0.043 0.611 0.248
2 Nd 0.073 0.073 0.263
3 Nd 0.334 0.334 0.762
4 Nd 0.389 0.957 0.752
5 Nd 0.611 0.043 0.248
6 Nd 0.666 0.666 0.238
7 Nd 0.927 0.927 0.737
8 Nd 0.957 0.389 0.752
9 Mg 0.320 0.680 0.000
10 Mg 0.500 0.500 0.500
11 Mg 0.680 0.320 0.000
12 Os 0.228 0.228 0.231
13 Os 0.772 0.772 0.769

Properties
Its space group is C2/m (12). For the electronic total energy, the calculation gives -4.98 eV per atom. The formation energy comes out at 5 kJ/mol of atoms. As for the size of the total moment: 0.00 μB/f.u.

Record 12
DFT (GGA-PBE) results for an optimized crystal structure of TlPbAu.

a b c (Å): 5.877 3.857 7.961
angles (deg): 90.00 111.43 90.00
Element x y z (fractional)
1 Tl 0.212 0.250 0.451
2 Tl 0.788 0.750 0.549
3 Pb 0.210 0.250 0.904
4 Pb 0.790 0.750 0.096
5 Au 0.350 0.750 0.208
6 Au 0.650 0.250 0.792

Properties
Its space group is P2_1/m (11). For the electronic total energy, the calculation gives -3.15 eV per atom. The formation energy comes out at -3 kJ/mol of atoms. As for the size of the total moment: 0.00 μB/f.u.

Record 13
DFT (GGA-PBE) results for an optimized crystal structure of Ga2NiPd2.

a b c (Å): 7.227 7.227 2.876
angles (deg): 90.00 90.00 90.00
Element x y z (fractional)
1 Ga 0.163 0.337 0.000
2 Ga 0.337 0.837 0.000
3 Ga 0.663 0.163 0.000
4 Ga 0.837 0.663 0.000
5 Ni 0.000 0.000 0.500
6 Ni 0.500 0.500 0.500
7 Pd 0.139 0.639 0.500
8 Pd 0.361 0.139 0.500
9 Pd 0.639 0.861 0.500
10 Pd 0.861 0.361 0.500

Properties
Its space group is P4/mbm (127). For the electronic total energy, the calculation gives -4.75 eV per atom. The formation energy comes out at -30 kJ/mol of atoms. As for the size of the total moment: 0.00 μB/f.u. Its energy above the lowest structure with this stoichiometry is 44 meV per atom.

Record 14
DFT (GGA-PBE) results for an optimized crystal structure of NdEuDyAl.

a b c (Å): 5.469 5.469 5.469
angles (deg): 60.00 60.00 60.00
Element x y z (fractional)
1 Nd 0.000 0.000 0.000
2 Eu 0.250 0.250 0.250
3 Dy 0.500 0.500 0.500
4 Al 0.750 0.750 0.750

Properties
Its space group is F-43m (216). For the electronic total energy, the calculation gives -5.88 eV per atom. The formation energy comes out at -4 kJ/mol of atoms. As for the size of the total moment: 7.35 μB/f.u.

Record 15
DFT (GGA-PBE) results for an optimized crystal structure of SmDy5Y2Er.

a b c (Å): 10.271 10.271 10.575
angles (deg): 90.00 90.00 148.27
Element x y z (fractional)
1 Sm 0.085 0.915 0.500
2 Sm 0.915 0.085 0.000
3 Dy 0.021 0.979 0.783
4 Dy 0.111 0.889 0.066
5 Dy 0.202 0.798 0.752
6 Dy 0.218 0.782 0.355
7 Dy 0.481 0.519 0.068
8 Dy 0.519 0.481 0.568
9 Dy 0.782 0.218 0.855
10 Dy 0.798 0.202 0.252
11 Dy 0.889 0.111 0.566
12 Dy 0.979 0.021 0.283
13 Y 0.386 0.614 0.363
14 Y 0.389 0.611 0.779
15 Y 0.611 0.389 0.279
16 Y 0.614 0.386 0.863
17 Er 0.299 0.701 0.055
18 Er 0.701 0.299 0.555

Properties
Its space group is Cmc2_1 (36). For the electronic total energy, the calculation gives -4.87 eV per atom. The formation energy comes out at 15 kJ/mol of atoms. As for the size of the total moment: 0.00 μB/f.u.

Record 16
DFT (GGA-PBE) results for an optimized crystal structure of TmCd2InHg4.

a b c (Å): 4.305 4.305 11.874
angles (deg): 90.00 90.00 90.00
Element x y z (fractional)
1 Tm 0.000 0.000 0.000
2 Cd 0.500 0.500 0.379
3 Cd 0.500 0.500 0.621
4 In 0.000 0.000 0.500
5 Hg 0.000 0.500 0.187
6 Hg 0.000 0.500 0.813
7 Hg 0.500 0.000 0.187
8 Hg 0.500 0.000 0.813

Properties
Its space group is P4/mmm (123). For the electronic total energy, the calculation gives -1.30 eV per atom. The formation energy comes out at -2 kJ/mol of atoms. As for the size of the total moment: 0.00 μB/f.u.

Record 17
DFT (GGA-PBE) results for an optimized crystal structure of K2FeReS.

a b c (Å): 6.386 6.386 4.226
angles (deg): 90.00 90.00 90.00
Element x y z (fractional)
1 K 0.000 0.500 0.000
2 K 0.500 0.000 0.000
3 Fe 0.000 0.000 0.500
4 Re 0.000 0.000 0.000
5 S 0.500 0.500 0.500

Properties
Its space group is P4/mmm (123). For the electronic total energy, the calculation gives -4.08 eV per atom. Its formation energy without anion corrections is 1.36 eV per atom. As for the size of the total moment: 0.62 μB/f.u.

Record 18
DFT (GGA-PBE) results for an optimized crystal structure of La4Tb3Sm2.

a b c (Å): 3.645 3.645 27.393
angles (deg): 90.00 90.00 120.00
Element x y z (fractional)
1 La 0.000 0.000 0.000
2 La 0.000 0.000 0.215
3 La 0.333 0.667 0.332
4 La 0.333 0.667 0.549
5 Tb 0.000 0.000 0.440
6 Tb 0.333 0.667 0.106
7 Tb 0.333 0.667 0.767
8 Sm 0.000 0.000 0.661
9 Sm 0.000 0.000 0.870

Properties
Its space group is P3m1 (156). For the electronic total energy, the calculation gives -4.72 eV per atom. The formation energy comes out at 6 kJ/mol of atoms. As for the size of the total moment: 0.00 μB/f.u. Its energy above the lowest structure with this stoichiometry is 37 meV per atom.

Record 19
DFT (GGA-PBE) results for an optimized crystal structure of PmSi2Pd5.

a b c (Å): 6.341 6.341 6.341
angles (deg): 143.92 112.12 79.36
Element x y z (fractional)
1 Pm 0.000 0.000 0.000
2 Si 0.255 0.755 0.500
3 Si 0.745 0.245 0.500
4 Pd 0.152 0.349 0.804
5 Pd 0.455 0.651 0.804
6 Pd 0.500 0.000 0.500
7 Pd 0.545 0.349 0.196
8 Pd 0.848 0.651 0.196

Properties
Its space group is Immm (71). For the electronic total energy, the calculation gives -5.98 eV per atom. Its formation energy without anion corrections is -0.79 eV per atom. As for the size of the total moment: 0.00 μB/f.u.

Record 20
DFT (GGA-PBE) results for an optimized crystal structure of RbBe4P3.

a b c (Å): 3.656 3.656 9.832
angles (deg): 90.00 90.00 90.00
Element x y z (fractional)
1 Rb 0.000 0.000 0.000
2 Be 0.000 0.500 0.358
3 Be 0.000 0.500 0.642
4 Be 0.500 0.000 0.358
5 Be 0.500 0.000 0.642
6 P 0.000 0.000 0.500
7 P 0.500 0.500 0.240
8 P 0.500 0.500 0.760

Properties
Its space group is P4/mmm (123). For the electronic total energy, the calculation gives -4.39 eV per atom. The formation energy comes out at -36 kJ/mol of atoms. As for the size of the total moment: 0.00 μB/f.u.